No. 1
# Sr2CoIN (GGA-PBE, relaxed)
data_Sr2CoIN
_chemical_formula_sum 'Sr2 Co1 I1 N1'
_symmetry_space_group_name_H-M 'P 4/m m m'
_symmetry_Int_Tables_number 123
_symmetry_space_group_name_Hall '-P 4 2'
_cell_length_a 5.619
_cell_length_b 5.619
_cell_length_c 3.646
_cell_angle_alpha 90.00
_cell_angle_beta 90.00
_cell_angle_gamma 90.00
loop_
_atom_site_label
_atom_site_type_symbol
_atom_site_fract_x
_atom_site_fract_y
_atom_site_fract_z
Sr1 Sr 0.000 0.500 0.000
Co1 Co 0.000 0.000 0.500
I1 I 0.500 0.500 0.500
N1 N 0.000 0.000 0.000
# * raw formation energy: -3.32 eV per formula unit
# * raw total energy: -4.734 eV/atom
# * volume: 23.02 Å³/atom
# * mass density: 5.41 Mg/m³

***

No. 2
# CsNp2Te2S (GGA-PBE, relaxed)
data_CsNp2Te2S
_chemical_formula_sum 'Cs1 Np2 Te2 S1'
_symmetry_space_group_name_H-M 'P 4/m m m'
_symmetry_Int_Tables_number 123
_symmetry_space_group_name_Hall '-P 4 2'
_cell_length_a 5.246
_cell_length_b 5.246
_cell_length_c 8.291
_cell_angle_alpha 90.00
_cell_angle_beta 90.00
_cell_angle_gamma 90.00
loop_
_atom_site_label
_atom_site_type_symbol
_atom_site_fract_x
_atom_site_fract_y
_atom_site_fract_z
Cs1 Cs 0.000 0.000 0.000
Np1 Np 0.000 0.500 0.500
Te1 Te 0.500 0.500 0.265
S1 S 0.000 0.000 0.500
# * raw formation energy: -5.53 eV per formula unit
# * raw total energy: -7.112 eV/atom
# * volume: 38.04 Å³/atom
# * mass density: 6.51 Mg/m³

***

No. 3
# BaCaAl (GGA-PBE, relaxed)
data_BaCaAl
_chemical_formula_sum 'Ba2 Ca2 Al2'
_symmetry_space_group_name_H-M 'I 4 m m'
_symmetry_Int_Tables_number 107
_symmetry_space_group_name_Hall 'I 4 -2'
_cell_length_a 3.934
_cell_length_b 3.934
_cell_length_c 14.514
_cell_angle_alpha 90.00
_cell_angle_beta 90.00
_cell_angle_gamma 90.00
loop_
_atom_site_label
_atom_site_type_symbol
_atom_site_fract_x
_atom_site_fract_y
_atom_site_fract_z
Ba1 Ba 0.000 0.000 0.000
Ca1 Ca 0.000 0.000 0.733
Al1 Al 0.000 0.000 0.346
# * raw total energy: -2.637 eV/atom
# * excess energy over the best structure of this formula in the dataset: 0 kJ/mol of formula units
# * volume: 37.43 Å³/atom
# * mass density: 3.02 Mg/m³
# * E_form: -24 kJ/mol of formula units

***

No. 4
# RhI3Cl (GGA-PBE, relaxed)
data_RhI3Cl
_chemical_formula_sum 'Rh1 I3 Cl1'
_symmetry_space_group_name_H-M 'P m -3 m'
_symmetry_Int_Tables_number 221
_symmetry_space_group_name_Hall '-P 4 2 3'
_cell_length_a 5.689
_cell_length_b 5.689
_cell_length_c 5.689
_cell_angle_alpha 90.00
_cell_angle_beta 90.00
_cell_angle_gamma 90.00
loop_
_atom_site_label
_atom_site_type_symbol
_atom_site_fract_x
_atom_site_fract_y
_atom_site_fract_z
Rh1 Rh 0.000 0.000 0.000
I1 I 0.000 0.500 0.500
Cl1 Cl 0.500 0.500 0.500
# * raw formation energy: 5.36 eV per formula unit
# * raw total energy: -1.697 eV/atom
# * excess energy over the best structure of this formula in the dataset: 399 kJ/mol of formula units
# * volume: 36.83 Å³/atom
# * mass density: 4.68 Mg/m³